{"formula": "CeMgTlIn", "functional": "PBE", "state": "relaxed", "lattice": [[7.486, 0.000, 0.000], [0.000, 7.486, 0.000], [0.000, 0.000, 7.486]], "species": ["Ce", "Ce", "Ce", "Ce", "Mg", "Mg", "Mg", "Mg", "Tl", "Tl", "Tl", "Tl", "In", "In", "In", "In"], "frac_coords": [[0.000, 0.000, 0.000], [0.000, 0.500, 0.500], [0.500, 0.000, 0.500], [0.500, 0.500, 0.000], [0.000, 0.000, 0.500], [0.000, 0.500, 0.000], [0.500, 0.000, 0.000], [0.500, 0.500, 0.500], [0.250, 0.250, 0.750], [0.250, 0.750, 0.250], [0.750, 0.250, 0.250], [0.750, 0.750, 0.750], [0.250, 0.250, 0.250], [0.250, 0.750, 0.750], [0.750, 0.250, 0.750], [0.750, 0.750, 0.250]], "space_group": "No. 216", "de_polymorph_mev_per_atom": 16, "delta_e_f_ev_per_fu": -0.98}

{"formula": "TaCrIn2Br", "functional": "PBE", "state": "relaxed", "lattice": [[5.556, 0.000, 0.000], [0.000, 5.556, 0.000], [0.000, 0.000, 4.764]], "species": ["Ta", "Cr", "In", "In", "Br"], "frac_coords": [[0.000, 0.000, 0.000], [0.500, 0.500, 0.000], [0.000, 0.500, 0.500], [0.500, 0.000, 0.500], [0.000, 0.000, 0.500]], "space_group": "No. 123", "formation_energy_uncorrected_ev_per_atom": 1.4275}

{"formula": "ZrFe3Ru", "functional": "PBE", "state": "relaxed", "lattice": [[4.376, 0.000, 0.000], [0.000, 4.376, 0.000], [0.000, 0.000, 4.376]], "species": ["Zr", "Fe", "Fe", "Fe", "Ru"], "frac_coords": [[0.000, 0.000, 0.000], [0.000, 0.000, 0.500], [0.000, 0.500, 0.000], [0.500, 0.000, 0.000], [0.500, 0.500, 0.500]], "space_group": "No. 221", "de_polymorph_mev_per_atom": 1109, "delta_e_f_ev_per_fu": 10.53}

{"formula": "NaBeNi", "functional": "PBE", "state": "relaxed", "lattice": [[2.675, 0.000, 0.000], [0.000, 12.127, 0.000], [0.000, 0.000, 5.404]], "species": ["Na", "Na", "Na", "Na", "Be", "Be", "Be", "Be", "Ni", "Ni", "Ni", "Ni"], "frac_coords": [[0.000, 0.190, 0.250], [0.000, 0.810, 0.750], [0.500, 0.310, 0.750], [0.500, 0.690, 0.250], [0.000, 0.500, 0.000], [0.000, 0.500, 0.500], [0.500, 0.000, 0.000], [0.500, 0.000, 0.500], [0.000, 0.082, 0.750], [0.000, 0.918, 0.250], [0.500, 0.418, 0.250], [0.500, 0.582, 0.750]], "space_group": "No. 63", "de_polymorph_mev_per_atom": 26, "delta_e_f_ev_per_fu": 0.37}

E: -3.403; -4.298; -6.537; -3.486 (eV per atom)